[1]
## NiHg2RuSe (PBE-GGA)

Data for an optimized crystal structure of NiHg2RuSe.

Cell and atoms, written as POSCAR:
```
NiHg2RuSe
1.0
5.348 0.000 0.000
0.000 5.348 0.000
0.000 0.000 4.245
Ni Hg Ru Se
1 2 1 1
direct
0.000 0.000 0.000
0.000 0.500 0.500
0.500 0.000 0.500
0.500 0.500 0.000
0.000 0.000 0.500
```

The value obtained for the density of states at the Fermi level is 4.67 states/eV/cell. As for the energy: -13.37 eV/f.u. The calculation puts the formation energy without anion corrections at 1154.5 meV per atom.

---

[2]
## Tb4Ni2HgRu (PBE-GGA)

Data for an optimized crystal structure of Tb4Ni2HgRu.

Cell and atoms, written as POSCAR:
```
Tb4Ni2HgRu
1.0
2.471 1.426 8.141
-2.471 1.426 8.141
0.000 -2.853 8.141
Tb Ni Hg Ru
4 2 1 1
direct
0.117 0.117 0.117
0.370 0.370 0.370
0.630 0.630 0.630
0.883 0.883 0.883
0.253 0.253 0.253
0.747 0.747 0.747
0.500 0.500 0.500
0.000 0.000 0.000
```

The value obtained for the density of states at the Fermi level is 5.48 states/eV/cell. As for the energy: -42.61 eV/f.u.

---

[3]
## Ni2HgS (PBE-GGA)

Data for an optimized crystal structure of Ni2HgS.

Cell and atoms, written as POSCAR:
```
Ni2HgS
1.0
-2.317 2.317 6.810
2.317 -2.317 6.810
2.317 2.317 -6.810
Ni Hg S
4 2 2
direct
0.375 0.231 0.356
0.769 0.125 0.144
0.875 0.019 0.644
0.981 0.625 0.856
0.250 0.750 0.500
0.500 0.500 0.000
0.000 0.000 0.000
0.750 0.250 0.500
```

The energy above the lowest structure with this stoichiometry is 4.0 kJ/mol of atoms. The value obtained for the density of states at the Fermi level is 3.15 states/eV/cell. As for the energy: -15.96 eV/f.u. The calculation puts the formation energy without anion corrections at 9.2 meV per atom.

---

[4]
## NiHg2S2 (PBE-GGA)

Data for an optimized crystal structure of NiHg2S2.

Cell and atoms, written as POSCAR:
```
NiHg2S2
1.0
-1.924 1.924 7.831
1.924 -1.924 7.831
1.924 1.924 -7.831
Ni Hg S
1 2 2
direct
0.000 0.000 0.000
0.250 0.750 0.500
0.750 0.250 0.500
0.434 0.434 0.000
0.566 0.566 0.000
```

The energy above the lowest structure with this stoichiometry is 35.5 kJ/mol of atoms. The value obtained for the density of states at the Fermi level is 3.05 states/eV/cell. As for the energy: -11.81 eV/f.u. The calculation puts the formation energy without anion corrections at 565.1 meV per atom.

---

[5]
## NiHg3S (PBE-GGA)

Data for an optimized crystal structure of NiHg3S.

Cell and atoms, written as POSCAR:
```
NiHg3S
1.0
5.236 0.000 0.000
0.000 5.236 0.000
0.000 0.000 5.236
Ni Hg S
1 3 1
direct
0.000 0.000 0.000
0.000 0.500 0.500
0.500 0.000 0.500
0.500 0.500 0.000
0.500 0.500 0.500
```

The value obtained for the density of states at the Fermi level is 8.08 states/eV/cell. As for the energy: -6.27 eV/f.u. The calculation puts the formation energy without anion corrections at 909.7 meV per atom.

---

[6]
## Ni2HgS3 (PBE-GGA)

Data for an optimized crystal structure of Ni2HgS3.

Cell and atoms, written as POSCAR:
```
Ni2HgS3
1.0
3.333 1.924 5.634
-3.333 1.924 5.634
0.000 -3.848 5.634
Ni Hg S
4 2 6
direct
0.000 0.000 0.000
0.000 0.500 0.500
0.500 0.000 0.500
0.500 0.500 0.000
0.213 0.213 0.213
0.787 0.787 0.787
0.236 0.236 0.730
0.236 0.730 0.236
0.270 0.764 0.764
0.730 0.236 0.236
0.764 0.270 0.764
0.764 0.764 0.270
```

The value obtained for the density of states at the Fermi level is 5.08 states/eV/cell. As for the energy: -25.64 eV/f.u. The calculation puts the formation energy without anion corrections at -232.2 meV per atom.